Computed, not measured: a relaxed LiPaO3 crystal at the PBE level of DFT.

Calculated values
- theoretical density (g cm⁻³) = 7.3
- E (eV/atom) = -7.921
- space group = Pnma, No. 62
- total magnetic moment (μB/f.u.) = 0.000

Lattice parameters (Å, degrees): 5.7771 8.1613 5.5178 90.00 90.00 90.00
Closest atoms and distances in Å follow each position.
Positions (direct):
Li: 0.0037 0.2500 0.0109  3 O 1.98
Li: 0.4963 0.7500 0.5109  3 O 1.98
Li: 0.5037 0.2500 0.4891  3 O 1.98
Li: 0.9963 0.7500 0.9891  3 O 1.98
Pa: 0.0000 0.0000 0.5000  6 O 2.18-2.22
Pa: 0.0000 0.5000 0.5000  6 O 2.18-2.22
Pa: 0.5000 0.0000 0.0000  6 O 2.18-2.22
Pa: 0.5000 0.5000 0.0000  6 O 2.18-2.22
O: 0.0730 0.2500 0.3614  1 Li 1.98
O: 0.1711 0.0733 0.8388  1 Li 1.98, 2 Pa 2.18-2.20
O: 0.1711 0.4267 0.8388  1 Li 1.98, 2 Pa 2.18-2.20
O: 0.3289 0.5733 0.3388  1 Li 1.98, 2 Pa 2.18-2.20
O: 0.3289 0.9267 0.3388  1 Li 1.98, 2 Pa 2.18-2.20
O: 0.4270 0.7500 0.8614  1 Li 1.98
O: 0.5730 0.2500 0.1386  1 Li 1.98
O: 0.6711 0.0733 0.6612  1 Li 1.98, 2 Pa 2.18-2.20
O: 0.6711 0.4267 0.6612  1 Li 1.98, 2 Pa 2.18-2.20
O: 0.8289 0.5733 0.1612  1 Li 1.98, 2 Pa 2.18-2.20
O: 0.8289 0.9267 0.1612  1 Li 1.98, 2 Pa 2.18-2.20
O: 0.9270 0.7500 0.6386  1 Li 1.98

=====

Computed, not measured: a relaxed LiPa2O4 crystal at the PBE level of DFT.

Calculated values
- theoretical density (g cm⁻³) = 7.4
- E (eV/atom) = -7.891
- space group = Fd-3m, No. 227
- total magnetic moment (μB/f.u.) = 3.000

Lattice parameters (Å, degrees): 6.9794 6.9794 6.9794 60.00 60.00 60.00
Closest atoms and distances in Å follow each position.
Positions (direct):
Li: 0.1250 0.1250 0.1250  4 O 2.34
Li: 0.8750 0.8750 0.8750  4 O 2.34
Pa: 0.0000 0.5000 0.5000  6 O 2.35
Pa: 0.5000 0.0000 0.5000  6 O 2.35
Pa: 0.5000 0.5000 0.0000  6 O 2.35
Pa: 0.5000 0.5000 0.5000  6 O 2.35
O: 0.2620 0.2620 0.2620  1 Li 2.34, 3 Pa 2.35
O: 0.2620 0.2620 0.7140  1 Li 2.34, 3 Pa 2.35
O: 0.2620 0.7140 0.2620  1 Li 2.34, 3 Pa 2.35
O: 0.2860 0.7380 0.7380  1 Li 2.34, 3 Pa 2.35
O: 0.7140 0.2620 0.2620  1 Li 2.34, 3 Pa 2.35
O: 0.7380 0.2860 0.7380  1 Li 2.34, 3 Pa 2.35
O: 0.7380 0.7380 0.2860  1 Li 2.34, 3 Pa 2.35
O: 0.7380 0.7380 0.7380  1 Li 2.34, 3 Pa 2.35

=====

Computed, not measured: a relaxed LiPaO3 crystal at the PBE level of DFT.

Calculated values
- theoretical density (g cm⁻³) = 9.0
- E (eV/atom) = -7.734
- space group = R-3c, No. 167
- total magnetic moment (μB/f.u.) = 0.000

Lattice parameters (Å, degrees): 5.1701 5.1701 5.1701 63.60 63.60 63.60
Closest atoms and distances in Å follow each position.
Positions (direct):
Li: 0.0000 0.0000 0.0000  6 O 1.97
Li: 0.5000 0.5000 0.5000  6 O 1.97
Pa: 0.2500 0.2500 0.2500  3 O 2.11
Pa: 0.7500 0.7500 0.7500  3 O 2.11
O: 0.1382 0.7500 0.3618  2 Li 1.97, 1 Pa 2.11
O: 0.2500 0.6382 0.8618  2 Li 1.97, 1 Pa 2.11
O: 0.3618 0.1382 0.7500  2 Li 1.97, 1 Pa 2.11
O: 0.6382 0.8618 0.2500  2 Li 1.97, 1 Pa 2.11
O: 0.7500 0.3618 0.1382  2 Li 1.97, 1 Pa 2.11
O: 0.8618 0.2500 0.6382  2 Li 1.97, 1 Pa 2.11

=====

Computed, not measured: a relaxed Li6Pa2O7 crystal at the PBE level of DFT.

Calculated values
- theoretical density (g cm⁻³) = 5.4
- E (eV/atom) = -6.598
- space group = P-1, No. 2
- total magnetic moment (μB/f.u.) = 2.000

Lattice parameters (Å, degrees): 5.7250 5.8643 6.2164 67.78 86.64 80.44
Closest atoms and distances in Å follow each position.
Positions (direct):
Li: 0.0084 0.2174 0.4232  3 O 1.95-2.00
Li: 0.3615 0.7453 0.8234  2 O 1.98-2.08
Li: 0.3759 0.5938 0.3327  3 O 1.86-1.95
Li: 0.6241 0.4062 0.6673  3 O 1.86-1.95
Li: 0.6385 0.2547 0.1766  2 O 1.98-2.08
Li: 0.9916 0.7826 0.5768  3 O 1.95-2.00
Pa: 0.1519 0.2543 0.9192  6 O 2.20-2.38
Pa: 0.8481 0.7457 0.0808  6 O 2.20-2.38
O: 0.0460 0.9959 0.7501  3 Li 1.96-2.08
O: 0.2153 0.4697 0.1482  1 Li 1.91
O: 0.2918 0.5576 0.6359  4 Li 1.86-1.98
O: 0.5000 0.0000 0.0000  2 Pa 2.24, 2 Li 2.41
O: 0.7082 0.4424 0.3641  4 Li 1.86-1.98
O: 0.7847 0.5303 0.8518  1 Li 1.91
O: 0.9540 0.0041 0.2499  3 Li 1.96-2.08